# ScTlGePt2, relaxed, DFT PBE
# Electronic total energy ... -4.331 eV per atom
# Calculated formation energy ... 0.75 eV per atom
# M_tot ... 0.00 μB per formula unit
data_ScTlGePt2
_chemical_formula_sum 'Sc1 Tl1 Ge1 Pt2'
_symmetry_space_group_name_H-M 'P 4/m m m'
_symmetry_Int_Tables_number 123
_symmetry_space_group_name_Hall '-P 4 2'
_cell_length_a 5.052
_cell_length_b 5.052
_cell_length_c 5.009
_cell_angle_alpha 90.00
_cell_angle_beta 90.00
_cell_angle_gamma 90.00
loop_
_atom_site_label
_atom_site_type_symbol
_atom_site_fract_x
_atom_site_fract_y
_atom_site_fract_z
Sc1 Sc 0.000 0.000 0.000
Tl1 Tl 0.500 0.500 0.500
Ge1 Ge 0.500 0.500 0.000
Pt1 Pt 0.000 0.500 0.500